Here is a relaxed structure of Na2HF4 from the Alexandria database. Energies are from GGA-PBEsol.

```
Na2HF4
1.0
3.535 0.000 0.000
0.000 4.678 -0.005
0.000 -2.060 5.596
Na F H
2 4 1
direct
0.500 0.500 0.500
0.000 0.000 0.000
0.500 0.329 0.097
0.000 0.847 0.579
0.000 0.153 0.421
0.500 0.671 0.903
0.500 0.500 0.000
```

Crystal system   monoclinic
VASP energy   -28.10 eV per cell
Symmetry   P2/m (10)

Here is a relaxed structure of Ta2InCl from the Alexandria database. Energies are from GGA-PBEsol.

```
Ta2InCl
1.0
-2.489 0.231 1.524
1.347 -2.433 0.916
4.767 5.268 6.983
Ta In Cl
2 1 1
direct
0.500 0.500 0.751
0.000 0.000 0.969
0.500 0.500 0.215
0.000 0.000 0.565
```

Crystal system   orthorhombic
VASP energy   -30.44 eV per cell
DOS at the Fermi energy   0.638 states/eV/atom
Energy relative to the elements, uncorrected   -0.09 eV per atom
Symmetry   Cmm2 (35)

Here is a relaxed structure of RbPrSe2 from the Alexandria database. Energies are from GGA-PBEsol.

```
RbPrSe2
1.0
-1.983 3.450 1.722
-3.715 -0.499 2.180
2.163 -0.023 7.992
Se Rb Pr
2 1 1
direct
0.235 0.235 0.296
0.765 0.765 0.704
0.000 0.000 0.000
0.500 0.500 0.500
```

Crystal system   trigonal
VASP energy   -20.76 eV per cell
DOS at the Fermi energy   0.000 states/eV/atom
Energy relative to the elements, uncorrected   -1.71 eV per atom
Symmetry   R-3m (166)

Here is a relaxed structure of CsGaSi3 from the Alexandria database. Energies are from GGA-PBEsol.

```
CsGaSi3
1.0
4.999 0.000 0.000
0.000 4.999 0.000
0.000 0.000 4.999
Si Ga Cs
3 1 1
direct
0.000 0.000 0.500
0.000 0.500 0.000
0.500 0.000 0.000
0.000 0.000 0.000
0.500 0.500 0.500
```

Crystal system   cubic
VASP energy   -17.63 eV per cell
DOS at the Fermi energy   0.558 states/eV/atom
Energy relative to the elements, uncorrected   0.78 eV per atom
Symmetry   Pm-3m (221)

Here is a relaxed structure of Ni6PtAu from the Alexandria database. Energies are from GGA-PBEsol.

```
Ni6PtAu
1.0
6.265 0.004 0.000
-2.091 5.906 0.000
0.000 0.000 10.233
Ni Au Pt
24 4 4
direct
0.123 0.371 0.127
0.752 0.248 0.747
0.879 0.627 0.376
0.879 0.627 0.624
0.629 0.877 0.127
0.121 0.373 0.624
0.373 0.121 0.624
0.500 0.500 0.000
0.248 0.752 0.747
0.371 0.123 0.127
0.752 0.248 0.253
0.000 0.000 0.000
0.877 0.629 0.127
0.500 0.500 0.500
0.373 0.121 0.376
0.123 0.371 0.873
0.627 0.879 0.376
0.121 0.373 0.376
0.627 0.879 0.624
0.248 0.752 0.253
0.000 0.000 0.500
0.877 0.629 0.873
0.371 0.123 0.873
0.629 0.877 0.873
0.748 0.252 0.000
0.500 0.500 0.749
0.500 0.500 0.251
0.252 0.748 0.000
0.252 0.748 0.500
0.000 0.000 0.250
0.000 0.000 0.750
0.748 0.252 0.500
```

DFT formation energy   8 meV per atom
Crystal system   orthorhombic
VASP energy   -191.08 eV per cell
DOS at the Fermi energy   1.671 states/eV/atom
Symmetry   Cmmm (65)

Here is a relaxed structure of RbTl3Se from the Alexandria database. Energies are from GGA-PBEsol.

```
RbTl3Se
1.0
5.994 0.000 0.000
0.000 5.994 0.000
0.000 0.000 5.994
Tl Se Rb
3 1 1
direct
0.000 0.500 0.000
0.000 0.000 0.500
0.500 0.000 0.000
0.000 0.000 0.000
0.500 0.500 0.500
```

Crystal system   cubic
VASP energy   -12.54 eV per cell
DOS at the Fermi energy   0.827 states/eV/atom
Energy relative to the elements, uncorrected   0.05 eV per atom
Symmetry   Pm-3m (221)